Entry 1:
Entry from the Alexandria database: a relaxed LiPmNd crystal (PBE-GGA).

- DFT total energy: -3.649 eV per atom
- DOS(E_F): 1.210 states/eV per atom
- Magnetization: 0.0000 μB/atom

abc: 5.496 7.006 9.489
angles: 90.00 90.00 90.00
Space group Imm2 (No. 44)
Inequivalent atoms, fractional coordinates:
Li: 0.000 0.229 0.000
Pm: 0.000 0.252 0.334
Nd: 0.000 0.000 0.662
Nd: 0.000 0.500 0.673

Entry 2:
Entry from the Alexandria database: a relaxed Cd2InCo2 crystal (PBE-GGA).

- DFT total energy: -3.455 eV per atom
- DOS(E_F): 0.706 states/eV per atom
- Magnetization: 0.6630 μB/atom

abc: 3.276 3.276 18.167
angles: 90.00 90.00 90.00
Space group I4/mmm (No. 139)
Inequivalent atoms, fractional coordinates:
Cd: 0.000 0.000 0.126
In: 0.000 0.000 0.500
Co: 0.000 0.500 0.250

Entry 3:
Entry from the Alexandria database: a relaxed FeNiOsI2 crystal (PBE-GGA).

- ΔE_f (raw): 1.635 eV/atom
- DFT total energy: -4.080 eV per atom
- DOS(E_F): 1.857 states/eV per atom
- Magnetization: 0.5065 μB/atom

abc: 5.061 5.061 4.499
angles: 90.00 90.00 90.00
Space group P4/mmm (No. 123)
Inequivalent atoms, fractional coordinates:
Fe: 0.000 0.000 0.000
Ni: 0.500 0.500 0.500
Os: 0.000 0.000 0.500
I: 0.000 0.500 0.000

Entry 4:
Entry from the Alexandria database: a relaxed EuMgF4 crystal (PBE-GGA).

- ΔE_f (raw): -3.612 eV/atom
- DFT total energy: -6.837 eV per atom
- DOS(E_F): 0.698 states/eV per atom
- Magnetization: 1.1667 μB/atom

abc: 4.081 14.962 5.599
angles: 90.00 90.00 90.00
Space group Cmcm (No. 63)
Inequivalent atoms, fractional coordinates:
Eu: 0.000 0.167 0.250
Mg: 0.000 0.411 0.250
F: 0.000 0.101 0.750
F: 0.000 0.313 0.003
F: 0.000 0.500 0.000

Entry 5:
Entry from the Alexandria database: a relaxed Mn4Ag crystal (PBE-GGA).

- DFT total energy: -6.464 eV per atom
- DOS(E_F): 1.125 states/eV per atom
- Magnetization: 3.4387 μB/atom

abc: 4.869 4.869 4.869
angles: 90.00 90.00 90.00
Space group Pm-3m (No. 221)
Inequivalent atoms, fractional coordinates:
Mn: 0.000 0.000 0.000
Mn: 0.000 0.500 0.500
Ag: 0.500 0.500 0.500

Entry 6:
Entry from the Alexandria database: a relaxed Nd4CdSn crystal (PBE-GGA).

- DFT total energy: -4.178 eV per atom
- DOS(E_F): 1.336 states/eV per atom
- Magnetization: 0.0000 μB/atom

abc: 5.655 22.052 6.638
angles: 90.00 90.00 90.00
Space group Cmcm (No. 63)
Inequivalent atoms, fractional coordinates:
Nd: 0.000 0.065 0.250
Nd: 0.000 0.210 0.007
Nd: 0.000 0.372 0.250
Cd: 0.000 0.076 0.750
Sn: 0.000 0.345 0.750

Entry 7:
Entry from the Alexandria database: a relaxed BaLi2La crystal (PBE-GGA).

- DFT total energy: -2.552 eV per atom
- DOS(E_F): 0.902 states/eV per atom
- Magnetization: 0.0001 μB/atom

abc: 3.876 3.876 9.026
angles: 90.00 90.00 90.00
Space group P4mm (No. 99)
Inequivalent atoms, fractional coordinates:
Ba: 0.000 0.000 0.000
Li: 0.000 0.000 0.579
Li: 0.500 0.500 0.714
La: 0.500 0.500 0.339

Entry 8:
Entry from the Alexandria database: a relaxed RbPa2CuSe5 crystal (PBE-GGA).

- ΔE_f (raw): -1.186 eV/atom
- DFT total energy: -5.794 eV per atom
- DOS(E_F): 0.656 states/eV per atom
- Magnetization: 0.2156 μB/atom

abc: 7.977 7.977 14.555
angles: 90.00 90.00 90.00
Space group I4/mcm (No. 140)
Inequivalent atoms, fractional coordinates:
Rb: 0.000 0.000 0.250
Pa: 0.157 0.343 0.000
Cu: 0.000 0.500 0.250
Se: 0.000 0.000 0.000
Se: 0.145 0.355 0.375

Entry 9:
Entry from the Alexandria database: a relaxed TaCrCu2 crystal (PBE-GGA).

- DFT total energy: -7.229 eV per atom
- DOS(E_F): 0.669 states/eV per atom
- Magnetization: 0.2713 μB/atom

abc: 3.156 3.156 5.548
angles: 90.00 90.00 90.00
Space group P4mm (No. 99)
Inequivalent atoms, fractional coordinates:
Ta: 0.000 0.000 0.000
Cr: 0.500 0.500 0.245
Cu: 0.000 0.000 0.501
Cu: 0.500 0.500 0.719

Entry 10:
Entry from the Alexandria database: a relaxed Ac2Sm2Ho crystal (PBE-GGA).

- DFT total energy: -3.969 eV per atom
- DOS(E_F): 1.903 states/eV per atom
- Magnetization: 0.0000 μB/atom

abc: 4.926 4.926 16.640
angles: 90.00 90.00 90.00
Space group I4/mmm (No. 139)
Inequivalent atoms, fractional coordinates:
Ac: 0.000 0.500 0.250
Sm: 0.000 0.000 0.091
Ho: 0.000 0.000 0.500

Entry 11:
Entry from the Alexandria database: a relaxed K3Tb2MnTe6 crystal (PBE-GGA).

- ΔE_f (raw): -1.057 eV/atom
- DFT total energy: -4.438 eV per atom
- DOS(E_F): 0.533 states/eV per atom
- Magnetization: 0.3333 μB/atom

abc: 7.643 13.265 8.611
angles: 90.00 107.30 90.00
Space group C2/m (No. 12)
Inequivalent atoms, fractional coordinates:
K: 0.000 0.000 0.000
K: 0.000 0.328 0.000
Tb: 0.000 0.166 0.500
Mn: 0.000 0.500 0.500
Te: 0.223 0.343 0.700
Te: 0.244 0.500 0.299

Entry 12:
Entry from the Alexandria database: a relaxed TbHf2Fe9 crystal (PBE-GGA).

- DFT total energy: -8.606 eV per atom
- DOS(E_F): 0.794 states/eV per atom
- Magnetization: 1.3640 μB/atom

abc: 4.9770 4.9770 23.8117
angles: 90.00 90.00 120.00
Space group R-3m (No. 166, hexagonal axes)
Inequivalent atoms, fractional coordinates:
Tb: 0.0000 0.0000 0.0000
Hf: 0.0000 0.0000 0.1429
Fe: 0.0000 0.0000 0.3330
Fe: 0.0000 0.0000 0.5000
Fe: 0.0030 0.5015 0.9149